The following is a DFT calculation (PBE) of a geometry-optimized Pr2EuBi structure.

Cell lengths 5.000, 5.101, 5.101 Å; angles 90.00, 90.00, 90.00 degrees
Element x y z (fractional)
Bi1 0.500 0.000 0.000
Pr1 0.000 0.000 0.500
Pr2 0.000 0.500 0.000
Eu1 0.500 0.500 0.500

Calculated values
N(E_F): 0.881 states/eV/atom
Calculated formation energy: -1.69 eV/f.u.
Calculated total energy: -25.4 eV per cell
Excess energy over the best structure of this formula in the dataset: 0 meV per atom